First-principles (PBE-GGA) data for ZrZnW2 after structural relaxation, as listed in Alexandria via LeMat-Bulk.

Lattice parameters (Å, degrees): 5.3490 5.3490 2.7048 90.00 90.00 116.71
With the nearest neighbours (Å) after each atom.
Fractional coordinates of all 4 atoms:
1 Zr 0.0000 0.5000 0.5000  2 Zr 2.70, 2 Zn 2.81, 8 W 3.00
2 W 0.0000 0.0000 0.0000  4 W 2.70-2.81, 4 Zr 3.00, 4 Zn 3.00
3 W 0.5000 0.5000 0.0000  4 W 2.70-2.81, 4 Zn 3.00, 4 Zr 3.00
4 Zn 0.5000 0.0000 0.5000  2 Zn 2.70, 2 Zr 2.81, 8 W 3.00

Summary:
SG   No. 65
Formation energy from the elements   35.6 kJ per mole of atoms
Calculated total energy   -8.563 eV per atom